[1]
# NaTlBiAu PBE optimized geometry
data_NaTlBiAu
_chemical_formula_sum 'Na1 Tl1 Bi1 Au1'
_cell_length_a 4.8002
_cell_length_b 4.8004
_cell_length_c 7.9786
_cell_angle_alpha 107.22
_cell_angle_beta 90.00
_cell_angle_gamma 120.00
_space_group_name_H-M_alt 'P 1'
_space_group_IT_number 1
loop_
_space_group_symop_operation_xyz
'x,y,z'
loop_
_atom_site_label
_atom_site_fract_x
_atom_site_fract_y
_atom_site_fract_z
Na1 0.2233 0.4467 0.5648
Bi1 0.8035 0.6070 0.3010
Tl1 0.3699 0.7399 0.0009
Au1 0.4991 0.9983 0.3888
# - excess energy over the best structure of this formula in the dataset (eV per atom) = 0.046
# - space group = Cm
# - energy of formation from the pure elements (meV per atom) = -75


[2]
# LiYZnRe2 PBE optimized geometry
data_LiYZnRe2
_chemical_formula_sum 'Li1 Y1 Zn1 Re2'
_cell_length_a 4.3529
_cell_length_b 4.4014
_cell_length_c 4.3529
_cell_angle_alpha 90.00
_cell_angle_beta 90.00
_cell_angle_gamma 90.00
_space_group_name_H-M_alt 'P 1'
_space_group_IT_number 1
loop_
_space_group_symop_operation_xyz
'x,y,z'
loop_
_atom_site_label
_atom_site_fract_x
_atom_site_fract_y
_atom_site_fract_z
Zn1 0.0000 0.5000 0.0000
Li1 0.0000 0.0000 0.0000
Re1 0.0000 0.0000 0.5000
Re2 0.5000 0.0000 0.0000
Y1 0.5000 0.5000 0.5000
# - space group = P4/mmm
# - energy of formation from the pure elements (meV per atom) = 892


[3]
# MnTl4Mo PBE optimized geometry
data_MnTl4Mo
_chemical_formula_sum 'Mn1 Tl4 Mo1'
_cell_length_a 6.1618
_cell_length_b 6.1618
_cell_length_c 6.1618
_cell_angle_alpha 60.00
_cell_angle_beta 60.00
_cell_angle_gamma 60.00
_space_group_name_H-M_alt 'P 1'
_space_group_IT_number 1
loop_
_space_group_symop_operation_xyz
'x,y,z'
loop_
_atom_site_label
_atom_site_fract_x
_atom_site_fract_y
_atom_site_fract_z
Tl1 0.3749 0.8753 0.3749
Tl2 0.3749 0.3749 0.8753
Tl3 0.8753 0.3749 0.3749
Tl4 0.3749 0.3749 0.3749
Mo1 0.0000 0.0000 0.0000
Mn1 0.7500 0.7500 0.7500
# - space group = F-43m
# - energy of formation from the pure elements (meV per atom) = 1107


[4]
# TeRuAuI2 PBE optimized geometry
data_TeRuAuI2
_chemical_formula_sum 'Te1 Ru1 Au1 I2'
_cell_length_a 5.5285
_cell_length_b 5.5285
_cell_length_c 5.6123
_cell_angle_alpha 90.00
_cell_angle_beta 90.00
_cell_angle_gamma 90.00
_space_group_name_H-M_alt 'P 1'
_space_group_IT_number 1
loop_
_space_group_symop_operation_xyz
'x,y,z'
loop_
_atom_site_label
_atom_site_fract_x
_atom_site_fract_y
_atom_site_fract_z
I1 0.5000 0.0000 0.0000
I2 0.0000 0.5000 0.0000
Te1 0.0000 0.0000 0.5000
Au1 0.0000 0.0000 0.0000
Ru1 0.5000 0.5000 0.5000
# - excess energy over the best structure of this formula in the dataset (eV per atom) = 0.528
# - space group = P4/mmm
# - energy relative to the elements, uncorrected (eV per formula unit) = 5.742


[5]
# Er4Hg PBE optimized geometry
data_Er4Hg
_chemical_formula_sum 'Er4 Hg1'
_cell_length_a 5.6021
_cell_length_b 5.6021
_cell_length_c 5.6021
_cell_angle_alpha 90.00
_cell_angle_beta 90.00
_cell_angle_gamma 90.00
_space_group_name_H-M_alt 'P 1'
_space_group_IT_number 1
loop_
_space_group_symop_operation_xyz
'x,y,z'
loop_
_atom_site_label
_atom_site_fract_x
_atom_site_fract_y
_atom_site_fract_z
Hg1 0.5000 0.5000 0.5000
Er1 0.0000 0.5000 0.5000
Er2 0.0000 0.0000 0.0000
Er3 0.5000 0.5000 0.0000
Er4 0.5000 0.0000 0.5000
# - excess energy over the best structure of this formula in the dataset (eV per atom) = 0.363
# - space group = Pm-3m
# - energy of formation from the pure elements (meV per atom) = 294


[6]
# AuSBr PBE optimized geometry
data_AuSBr
_chemical_formula_sum 'Au2 S2 Br2'
_cell_length_a 6.6140
_cell_length_b 10.0495
_cell_length_c 7.9868
_cell_angle_alpha 48.33
_cell_angle_beta 42.79
_cell_angle_gamma 31.02
_space_group_name_H-M_alt 'P 1'
_space_group_IT_number 1
loop_
_space_group_symop_operation_xyz
'x,y,z'
loop_
_atom_site_label
_atom_site_fract_x
_atom_site_fract_y
_atom_site_fract_z
Au1 0.5000 0.5000 0.0000
Au2 0.5000 0.0000 0.5000
Br1 0.7029 0.3147 0.3174
Br2 0.2971 0.6853 0.6826
S1 0.6569 0.1435 0.0820
S2 0.3431 0.8565 0.9180
# - space group = P-1
# - energy relative to the elements, uncorrected (eV per formula unit) = -0.164


[7]
# CaPm2ZnHg4 PBE optimized geometry
data_CaPm2ZnHg4
_chemical_formula_sum 'Ca1 Pm2 Zn1 Hg4'
_cell_length_a 5.2142
_cell_length_b 5.2142
_cell_length_c 9.1383
_cell_angle_alpha 73.42
_cell_angle_beta 73.42
_cell_angle_gamma 60.00
_space_group_name_H-M_alt 'P 1'
_space_group_IT_number 1
loop_
_space_group_symop_operation_xyz
'x,y,z'
loop_
_atom_site_label
_atom_site_fract_x
_atom_site_fract_y
_atom_site_fract_z
Ca1 0.0000 0.0000 0.0000
Hg1 0.3727 0.3727 0.8818
Hg2 0.1232 0.1232 0.6304
Hg3 0.6273 0.6273 0.1182
Hg4 0.8768 0.8768 0.3696
Pm1 0.7566 0.7566 0.7301
Pm2 0.2434 0.2434 0.2699
Zn1 0.5000 0.5000 0.5000
# - space group = R-3m
# - energy of formation from the pure elements (meV per atom) = -416


[8]
# Sr2PmMg PBE optimized geometry
data_Sr2PmMg
_chemical_formula_sum 'Sr2 Pm1 Mg1'
_cell_length_a 4.4361
_cell_length_b 4.4361
_cell_length_c 8.0531
_cell_angle_alpha 90.00
_cell_angle_beta 90.00
_cell_angle_gamma 90.00
_space_group_name_H-M_alt 'P 1'
_space_group_IT_number 1
loop_
_space_group_symop_operation_xyz
'x,y,z'
loop_
_atom_site_label
_atom_site_fract_x
_atom_site_fract_y
_atom_site_fract_z
Mg1 0.5000 0.5000 0.0000
Sr1 0.0000 0.0000 0.7626
Sr2 0.0000 0.0000 0.2374
Pm1 0.5000 0.5000 0.5000
# - excess energy over the best structure of this formula in the dataset (eV per atom) = 0.000
# - space group = P4/mmm
# - energy of formation from the pure elements (meV per atom) = 124


Number 1: final energy -2.79 eV/atom. Number 2: final energy -6.02 eV/atom. Number 3: final energy -3.80 eV/atom. Number 4: final energy -2.61 eV/atom. Number 5: final energy -3.42 eV/atom. Number 6: final energy -3.08 eV/atom. Number 7: final energy -2.16 eV/atom. Number 8: final energy -2.30 eV/atom.